Below is crystalline CsWI2O at its relaxed geometry, with properties calculated at the PBE with a Hubbard U level.

Cell lengths 6.426, 6.426, 3.970 Å; angles 90.00, 90.00, 90.00 degrees
Space group P4/mmm (No. 123)
One atom of each set of equivalent atoms:
Cs (0.000, 0.000, 0.000)
W (0.500, 0.500, 0.500)
I (0.000, 0.500, 0.500)
O (0.500, 0.500, 0.000)

## Properties
Calculated total energy (eV per formula unit): -20.6